VASP calculation (PBE) on a relaxed structure of Tb4Sb2TeAs.

abc: 7.492 4.325 7.516
angles: 90.00 109.30 90.00
Space group P2/m (No. 10)
Symmetry-distinct sites (fractional):
Tb 0.240 0.000 0.235
Tb 0.249 0.500 0.762
Sb 0.500 0.000 0.000
Sb 0.500 0.500 0.500
Te 0.000 0.000 0.500
As 0.000 0.500 0.000

- E (eV per cell) = -45.0
- crystal system = monoclinic
- formation energy without anion corrections (kJ per mole of atoms) = -127

=====

VASP calculation (PBE) on a relaxed structure of TbYSbAs.

abc: 4.2232 4.2232 21.6519
angles: 90.00 90.00 120.00
Space group R3m (No. 160, hexagonal axes)
Symmetry-distinct sites (fractional):
Tb 0.0000 0.0000 0.0000
Y 0.0000 0.0000 0.8189
Sb 0.0000 0.0000 0.5765
As 0.0000 0.0000 0.4076

- E (eV per cell) = -74.4
- crystal system = trigonal
- formation energy without anion corrections (kJ per mole of atoms) = -119

=====

> formation energy without anion corrections of number 2 (TbYSbAs)?

-119 kJ per mole of atoms

=====

> Among the records above, which one has the lowest E?

TbYSbAs